First-principles (PBE) data for a geometry-optimized YP2 structure, as listed in Alexandria.

```
data_YP2
_cell_length_a 4.1737
_cell_length_b 4.1737
_cell_length_c 3.7578
_cell_angle_alpha 90.00
_cell_angle_beta 90.00
_cell_angle_gamma 120.00
_symmetry_space_group_name_H-M 'P 1'
_symmetry_Int_Tables_number 1
loop_
_symmetry_equiv_pos_as_xyz
'x,y,z'
loop_
_atom_site_label
_atom_site_fract_x
_atom_site_fract_y
_atom_site_fract_z
Y1 0.0000 0.0000 0.0000
P1 0.6667 0.3333 0.4998
P2 0.3333 0.6667 0.5002
```


First-principles (PBE) data for a geometry-optimized YP5 structure, as listed in Alexandria.

```
data_YP5
_cell_length_a 5.5784
_cell_length_b 5.5784
_cell_length_c 5.2545
_cell_angle_alpha 70.39
_cell_angle_beta 70.39
_cell_angle_gamma 47.73
_symmetry_space_group_name_H-M 'P 1'
_symmetry_Int_Tables_number 1
loop_
_symmetry_equiv_pos_as_xyz
'x,y,z'
loop_
_atom_site_label
_atom_site_fract_x
_atom_site_fract_y
_atom_site_fract_z
P1 0.0150 0.0150 0.7073
P2 0.5983 0.5983 0.6418
P3 0.4005 0.4005 0.2728
P4 0.9008 0.9008 0.1546
P5 0.6448 0.6448 0.1966
Y1 0.2739 0.2739 0.8602
```


First-principles (PBE) data for a geometry-optimized YP4 structure, as listed in Alexandria.

```
data_YP4
_cell_length_a 5.2278
_cell_length_b 5.2278
_cell_length_c 5.2278
_cell_angle_alpha 90.00
_cell_angle_beta 90.00
_cell_angle_gamma 90.00
_symmetry_space_group_name_H-M 'P 1'
_symmetry_Int_Tables_number 1
loop_
_symmetry_equiv_pos_as_xyz
'x,y,z'
loop_
_atom_site_label
_atom_site_fract_x
_atom_site_fract_y
_atom_site_fract_z
Y1 0.5000 0.5000 0.5000
P1 0.5000 0.5000 0.0000
P2 0.0000 0.0000 0.0000
P3 0.0000 0.5000 0.5000
P4 0.5000 0.0000 0.5000
```


First-principles (PBE) data for a geometry-optimized YP3 structure, as listed in Alexandria.

```
data_YP3
_cell_length_a 4.3550
_cell_length_b 4.3550
_cell_length_c 3.7834
_cell_angle_alpha 90.00
_cell_angle_beta 90.00
_cell_angle_gamma 90.00
_symmetry_space_group_name_H-M 'P 1'
_symmetry_Int_Tables_number 1
loop_
_symmetry_equiv_pos_as_xyz
'x,y,z'
loop_
_atom_site_label
_atom_site_fract_x
_atom_site_fract_y
_atom_site_fract_z
P1 0.5000 0.0000 0.5000
P2 0.5000 0.5000 0.0000
P3 0.0000 0.0000 0.0000
Y1 0.0000 0.5000 0.5000
```


First-principles (PBE) data for a geometry-optimized Y3P5 structure, as listed in Alexandria.

```
data_Y3P5
_cell_length_a 5.6417
_cell_length_b 5.6417
_cell_length_c 5.1771
_cell_angle_alpha 90.00
_cell_angle_beta 90.00
_cell_angle_gamma 106.35
_symmetry_space_group_name_H-M 'P 1'
_symmetry_Int_Tables_number 1
loop_
_symmetry_equiv_pos_as_xyz
'x,y,z'
loop_
_atom_site_label
_atom_site_fract_x
_atom_site_fract_y
_atom_site_fract_z
P1 0.0000 0.5000 0.0000
P2 0.3365 0.3365 0.5000
P3 0.0000 0.0000 0.0000
P4 0.6635 0.6635 0.5000
P5 0.5000 0.0000 0.0000
Y1 0.8012 0.1988 0.5000
Y2 0.5000 0.5000 0.0000
Y3 0.1988 0.8012 0.5000
```


First-principles (PBE) data for a geometry-optimized Y3P5 structure, as listed in Alexandria.

```
data_Y3P5
_cell_length_a 8.3434
_cell_length_b 8.3434
_cell_length_c 5.3102
_cell_angle_alpha 90.00
_cell_angle_beta 90.00
_cell_angle_gamma 120.00
_symmetry_space_group_name_H-M 'P 1'
_symmetry_Int_Tables_number 1
loop_
_symmetry_equiv_pos_as_xyz
'x,y,z'
loop_
_atom_site_label
_atom_site_fract_x
_atom_site_fract_y
_atom_site_fract_z
P1 0.3333 0.6667 0.0000
P2 0.3333 0.6667 0.5000
P3 0.6667 0.3333 0.0000
P4 0.0000 0.1979 0.2500
P5 0.1979 0.0000 0.2500
P6 0.1979 0.1979 0.7500
P7 0.8021 0.8021 0.2500
P8 0.6667 0.3333 0.5000
P9 0.8021 0.0000 0.7500
P10 0.0000 0.8021 0.7500
Y1 0.0000 0.6328 0.2500
Y2 0.3672 0.0000 0.7500
Y3 0.0000 0.3672 0.7500
Y4 0.6328 0.0000 0.2500
Y5 0.3672 0.3672 0.2500
Y6 0.6328 0.6328 0.7500
```


First-principles (PBE) data for a geometry-optimized YP5 structure, as listed in Alexandria.

```
data_YP5
_cell_length_a 6.4227
_cell_length_b 6.4227
_cell_length_c 3.5187
_cell_angle_alpha 90.00
_cell_angle_beta 90.00
_cell_angle_gamma 135.88
_symmetry_space_group_name_H-M 'P 1'
_symmetry_Int_Tables_number 1
loop_
_symmetry_equiv_pos_as_xyz
'x,y,z'
loop_
_atom_site_label
_atom_site_fract_x
_atom_site_fract_y
_atom_site_fract_z
P1 0.7274 0.2726 0.5000
P2 0.1429 0.8571 0.0000
P3 0.8571 0.1429 0.0000
P4 0.0000 0.0000 0.5000
P5 0.2726 0.7274 0.5000
Y1 0.5000 0.5000 0.0000
```


First-principles (PBE) data for a geometry-optimized YP3 structure, as listed in Alexandria.

```
data_YP3
_cell_length_a 3.7082
_cell_length_b 5.5471
_cell_length_c 4.1254
_cell_angle_alpha 90.00
_cell_angle_beta 90.00
_cell_angle_gamma 90.00
_symmetry_space_group_name_H-M 'P 1'
_symmetry_Int_Tables_number 1
loop_
_symmetry_equiv_pos_as_xyz
'x,y,z'
loop_
_atom_site_label
_atom_site_fract_x
_atom_site_fract_y
_atom_site_fract_z
P1 0.0000 0.0000 0.1113
P2 0.5000 0.5000 0.6472
P3 0.5000 0.0000 0.7678
Y1 0.0000 0.5000 0.1404
```


no.,magnetization (μB/f.u.),formation energy (eV/f.u.),uncorrected energy (eV per atom)
1,0.0,-2.12,-6.468
2,0.0,-1.78,-5.882
3,0.9,6.12,-4.396
4,0.0,-1.17,-5.965
5,0.0,-6.55,-6.624
6,0.0,-5.96,-6.550
7,0.0,-1.49,-5.834
8,0.0,-2.08,-6.193